A relaxed structure of MgSiNi2, computed with PBE.

Structure (CIF):
```
data_MgSiNi2
_chemical_formula_sum 'Mg4 Si4 Ni8'
_cell_length_a 6.6825
_cell_length_b 6.4250
_cell_length_c 5.0081
_cell_angle_alpha 90.00
_cell_angle_beta 90.00
_cell_angle_gamma 90.00
_symmetry_space_group_name_H-M 'P 1'
_symmetry_Int_Tables_number 1
_symmetry_space_group_name_Hall 'P 1'
loop_
_atom_site_label
_atom_site_fract_x
_atom_site_fract_y
_atom_site_fract_z
_atom_site_occupancy
Mg1 0.0256 0.2500 0.1312 1
Mg2 0.4744 0.7500 0.6312 1
Mg3 0.5256 0.2500 0.3688 1
Mg4 0.9744 0.7500 0.8688 1
Si1 0.1197 0.7500 0.3713 1
Si2 0.3803 0.2500 0.8713 1
Si3 0.6197 0.7500 0.1287 1
Si4 0.8803 0.2500 0.6287 1
Ni1 0.1726 0.0548 0.6030 1
Ni2 0.1726 0.4452 0.6030 1
Ni3 0.3274 0.5548 0.1030 1
Ni4 0.3274 0.9452 0.1030 1
Ni5 0.6726 0.0548 0.8970 1
Ni6 0.6726 0.4452 0.8970 1
Ni7 0.8274 0.5548 0.3970 1
Ni8 0.8274 0.9452 0.3970 1
```

- space-group type = Pnma (62)
- spin magnetization (μB per formula unit) = 0.00
- formation energy from raw total energies (eV/f.u.) = -1.8

=====

A relaxed structure of MgSiNi5, computed with PBE.

Structure (CIF):
```
data_MgSiNi5
_chemical_formula_sum 'Mg1 Si1 Ni5'
_cell_length_a 3.6692
_cell_length_b 3.6692
_cell_length_c 6.4120
_cell_angle_alpha 90.00
_cell_angle_beta 90.00
_cell_angle_gamma 90.00
_symmetry_space_group_name_H-M 'P 1'
_symmetry_Int_Tables_number 1
_symmetry_space_group_name_Hall 'P 1'
loop_
_atom_site_label
_atom_site_fract_x
_atom_site_fract_y
_atom_site_fract_z
_atom_site_occupancy
Mg1 0.0000 0.0000 0.0000 1
Si1 0.5000 0.5000 0.5000 1
Ni1 0.0000 0.5000 0.2900 1
Ni2 0.0000 0.5000 0.7100 1
Ni3 0.5000 0.0000 0.2900 1
Ni4 0.5000 0.0000 0.7100 1
Ni5 0.5000 0.5000 0.0000 1
```

- space-group type = P4/mmm (123)
- spin magnetization (μB per formula unit) = 0.49
- formation energy from raw total energies (eV/f.u.) = -1.5

=====

A relaxed structure of Mg2Si7Ni12, computed with PBE.

Structure (CIF):
```
data_Mg2Si7Ni12
_chemical_formula_sum 'Mg2 Si7 Ni12'
_cell_length_a 9.3030
_cell_length_b 9.3030
_cell_length_c 3.4711
_cell_angle_alpha 90.00
_cell_angle_beta 90.00
_cell_angle_gamma 120.00
_symmetry_space_group_name_H-M 'P 1'
_symmetry_Int_Tables_number 1
_symmetry_space_group_name_Hall 'P 1'
loop_
_atom_site_label
_atom_site_fract_x
_atom_site_fract_y
_atom_site_fract_z
_atom_site_occupancy
Mg1 0.0000 0.0000 0.0000 1
Mg2 0.3333 0.6667 0.5000 1
Si1 0.0730 0.4532 0.0000 1
Si2 0.2567 0.2192 0.5000 1
Si3 0.3803 0.9270 0.0000 1
Si4 0.5468 0.6197 0.0000 1
Si5 0.6667 0.3333 0.0000 1
Si6 0.7808 0.0375 0.5000 1
Si7 0.9625 0.7433 0.5000 1
Ni1 0.0443 0.2742 0.5000 1
Ni2 0.1081 0.7113 0.0000 1
Ni3 0.2299 0.9557 0.5000 1
Ni4 0.2887 0.3968 0.0000 1
Ni5 0.3905 0.1792 0.0000 1
Ni6 0.5404 0.4289 0.5000 1
Ni7 0.5711 0.1114 0.5000 1
Ni8 0.6032 0.8919 0.0000 1
Ni9 0.7258 0.7701 0.5000 1
Ni10 0.7887 0.6095 0.0000 1
Ni11 0.8208 0.2113 0.0000 1
Ni12 0.8886 0.4596 0.5000 1
```

- space-group type = P-6 (174)
- spin magnetization (μB per formula unit) = 0.00
- formation energy from raw total energies (eV/f.u.) = -10.5

=====

A relaxed structure of MgSiNi2, computed with PBE.

Structure (CIF):
```
data_MgSiNi2
_chemical_formula_sum 'Mg1 Si1 Ni2'
_cell_length_a 4.6106
_cell_length_b 4.6106
_cell_length_c 4.1435
_cell_angle_alpha 105.73
_cell_angle_beta 105.73
_cell_angle_gamma 36.32
_symmetry_space_group_name_H-M 'P 1'
_symmetry_Int_Tables_number 1
_symmetry_space_group_name_Hall 'P 1'
loop_
_atom_site_label
_atom_site_fract_x
_atom_site_fract_y
_atom_site_fract_z
_atom_site_occupancy
Mg1 0.0000 0.0000 0.0000 1
Si1 0.2345 0.2345 0.6344 1
Ni1 0.5117 0.5117 0.5154 1
Ni2 0.7513 0.7513 0.1735 1
```

- space-group type = Cm (8)
- spin magnetization (μB per formula unit) = 0.00
- formation energy from raw total energies (eV/f.u.) = -1.2

=====

A relaxed structure of MgSi2Ni, computed with PBE.

Structure (CIF):
```
data_MgSi2Ni
_chemical_formula_sum 'Mg1 Si2 Ni1'
_cell_length_a 3.1796
_cell_length_b 3.1796
_cell_length_c 5.7435
_cell_angle_alpha 90.00
_cell_angle_beta 90.00
_cell_angle_gamma 90.00
_symmetry_space_group_name_H-M 'P 1'
_symmetry_Int_Tables_number 1
_symmetry_space_group_name_Hall 'P 1'
loop_
_atom_site_label
_atom_site_fract_x
_atom_site_fract_y
_atom_site_fract_z
_atom_site_occupancy
Mg1 0.0000 0.0000 0.0000 1
Si1 0.0000 0.0000 0.4795 1
Si2 0.5000 0.5000 0.7103 1
Ni1 0.5000 0.5000 0.3078 1
```

- space-group type = P4mm (99)
- spin magnetization (μB per formula unit) = 0.00
- formation energy from raw total energies (eV/f.u.) = -0.2

=====

A relaxed structure of MgSiNi2, computed with PBE.

Structure (CIF):
```
data_MgSiNi2
_chemical_formula_sum 'Mg1 Si1 Ni2'
_cell_length_a 2.7799
_cell_length_b 4.1356
_cell_length_c 4.7506
_cell_angle_alpha 90.00
_cell_angle_beta 106.73
_cell_angle_gamma 90.00
_symmetry_space_group_name_H-M 'P 1'
_symmetry_Int_Tables_number 1
_symmetry_space_group_name_Hall 'P 1'
loop_
_atom_site_label
_atom_site_fract_x
_atom_site_fract_y
_atom_site_fract_z
_atom_site_occupancy
Mg1 0.0000 0.0000 0.0000 1
Si1 0.3581 0.5000 0.7133 1
Ni1 0.2677 0.0000 0.5222 1
Ni2 0.6428 0.5000 0.2785 1
```

- space-group type = Pm (6)
- spin magnetization (μB per formula unit) = 0.00
- formation energy from raw total energies (eV/f.u.) = -1.0

=====

A relaxed structure of MgSiNi2, computed with PBE.

Structure (CIF):
```
data_MgSiNi2
_chemical_formula_sum 'Mg2 Si2 Ni4'
_cell_length_a 5.3697
_cell_length_b 5.3697
_cell_length_c 5.3697
_cell_angle_alpha 104.08
_cell_angle_beta 104.08
_cell_angle_gamma 120.90
_symmetry_space_group_name_H-M 'P 1'
_symmetry_Int_Tables_number 1
_symmetry_space_group_name_Hall 'P 1'
loop_
_atom_site_label
_atom_site_fract_x
_atom_site_fract_y
_atom_site_fract_z
_atom_site_occupancy
Mg1 0.0000 0.0000 0.0000 1
Mg2 0.7500 0.2500 0.5000 1
Si1 0.2500 0.7500 0.5000 1
Si2 0.5000 0.5000 0.0000 1
Ni1 0.1791 0.6250 0.0541 1
Ni2 0.3750 0.4291 0.5541 1
Ni3 0.5709 0.1250 0.9459 1
Ni4 0.8750 0.8209 0.4459 1
```

- space-group type = I-42d (122)
- spin magnetization (μB per formula unit) = 0.00
- formation energy from raw total energies (eV/f.u.) = -0.2

=====

A relaxed structure of MgSi2Ni, computed with PBE.

Structure (CIF):
```
data_MgSi2Ni
_chemical_formula_sum 'Mg1 Si2 Ni1'
_cell_length_a 5.3127
_cell_length_b 5.3127
_cell_length_c 5.3127
_cell_angle_alpha 151.24
_cell_angle_beta 125.37
_cell_angle_gamma 62.91
_symmetry_space_group_name_H-M 'P 1'
_symmetry_Int_Tables_number 1
_symmetry_space_group_name_Hall 'P 1'
loop_
_atom_site_label
_atom_site_fract_x
_atom_site_fract_y
_atom_site_fract_z
_atom_site_occupancy
Mg1 0.0000 0.0000 0.0000 1
Si1 0.2847 0.7847 0.5000 1
Si2 0.7153 0.2153 0.5000 1
Ni1 0.5000 0.5000 0.0000 1
```

- space-group type = Immm (71)
- spin magnetization (μB per formula unit) = 0.00
- formation energy from raw total energies (eV/f.u.) = -0.1

=====

Please write out number 3 again, unchanged.
A relaxed structure of Mg2Si7Ni12, computed with PBE.

Structure (CIF):
```
data_Mg2Si7Ni12
_chemical_formula_sum 'Mg2 Si7 Ni12'
_cell_length_a 9.3030
_cell_length_b 9.3030
_cell_length_c 3.4711
_cell_angle_alpha 90.00
_cell_angle_beta 90.00
_cell_angle_gamma 120.00
_symmetry_space_group_name_H-M 'P 1'
_symmetry_Int_Tables_number 1
_symmetry_space_group_name_Hall 'P 1'
loop_
_atom_site_label
_atom_site_fract_x
_atom_site_fract_y
_atom_site_fract_z
_atom_site_occupancy
Mg1 0.0000 0.0000 0.0000 1
Mg2 0.3333 0.6667 0.5000 1
Si1 0.0730 0.4532 0.0000 1
Si2 0.2567 0.2192 0.5000 1
Si3 0.3803 0.9270 0.0000 1
Si4 0.5468 0.6197 0.0000 1
Si5 0.6667 0.3333 0.0000 1
Si6 0.7808 0.0375 0.5000 1
Si7 0.9625 0.7433 0.5000 1
Ni1 0.0443 0.2742 0.5000 1
Ni2 0.1081 0.7113 0.0000 1
Ni3 0.2299 0.9557 0.5000 1
Ni4 0.2887 0.3968 0.0000 1
Ni5 0.3905 0.1792 0.0000 1
Ni6 0.5404 0.4289 0.5000 1
Ni7 0.5711 0.1114 0.5000 1
Ni8 0.6032 0.8919 0.0000 1
Ni9 0.7258 0.7701 0.5000 1
Ni10 0.7887 0.6095 0.0000 1
Ni11 0.8208 0.2113 0.0000 1
Ni12 0.8886 0.4596 0.5000 1
```

- space-group type = P-6 (174)
- spin magnetization (μB per formula unit) = 0.00
- formation energy from raw total energies (eV/f.u.) = -10.5